# 1
TbLuAl4 after structural relaxation, computed with PBE.

Summary:
- Crystal system: cubic
- Formation energy from the elements: -0.50 eV/atom

POSCAR file:
```
TbLuAl4
1.0
-2.476 -1.866 4.582
2.730 -3.356 3.449
1.609 1.846 4.961
Lu Tb Al
1 1 4
direct
0.000 0.000 0.000
0.250 0.250 0.250
0.625 0.625 0.125
0.625 0.125 0.625
0.625 0.625 0.625
0.125 0.625 0.625
```

# 2
TbLu2Al after structural relaxation, computed with PBE.

Summary:
- Energy above the lowest structure with this stoichiometry: 9.5 meV per atom
- Crystal system: tetragonal
- Formation energy from the elements: -0.19 eV/atom

POSCAR file:
```
TbLu2Al
1.0
-1.582 -1.443 -4.201
2.118 -4.140 0.624
-3.880 -1.677 2.037
Lu Tb Al
2 1 1
direct
0.000 0.000 0.500
0.000 0.500 0.000
0.500 0.500 0.500
0.500 0.000 0.000
```

# 3
TbLuAlTl after structural relaxation, computed with PBE.

Summary:
- Crystal system: cubic
- Formation energy from the elements: -0.31 eV/atom

POSCAR file:
```
TbLuAlTl
1.0
-2.857 -0.472 -4.330
-0.168 -4.553 -2.526
-4.360 -2.850 0.055
Tl Lu Tb Al
1 1 1 1
direct
0.000 0.000 0.000
0.750 0.750 0.750
0.250 0.250 0.250
0.500 0.500 0.500
```

# 4
TbTmLuAl after structural relaxation, computed with PBE.

Summary:
- Crystal system: cubic
- Formation energy from the elements: -0.08 eV/atom

POSCAR file:
```
TbTmLuAl
1.0
5.289 0.000 0.000
2.644 4.580 0.000
2.644 1.527 4.318
Tb Lu Tm Al
1 1 1 1
direct
0.000 0.000 0.000
0.250 0.250 0.250
0.500 0.500 0.500
0.750 0.750 0.750
```

# 5
TbLuAlZn after structural relaxation, computed with PBE.

Summary:
- Crystal system: cubic
- Formation energy from the elements: -0.37 eV/atom

POSCAR file:
```
TbLuAlZn
1.0
-0.502 2.408 4.394
3.520 -0.507 3.566
3.031 3.865 1.114
Zn Lu Tb Al
1 1 1 1
direct
0.000 0.000 0.000
0.750 0.750 0.750
0.250 0.250 0.250
0.500 0.500 0.500
```

# 6
TbLuZrAl after structural relaxation, computed with PBE.

Summary:
- Crystal system: cubic
- Formation energy from the elements: -0.03 eV/atom

POSCAR file:
```
TbLuZrAl
1.0
5.139 0.000 0.000
2.569 4.450 0.000
2.569 1.483 4.196
Lu Tb Al Zr
1 1 1 1
direct
0.750 0.750 0.750
0.000 0.000 0.000
0.250 0.250 0.250
0.500 0.500 0.500
```

Number 1: DOS at the Fermi energy 5.29 states/eV/cell. Number 2: DOS at the Fermi energy 4.18 states/eV/cell. Number 3: DOS at the Fermi energy 1.30 states/eV/cell. Number 4: DOS at the Fermi energy 4.97 states/eV/cell. Number 5: DOS at the Fermi energy 3.03 states/eV/cell. Number 6: DOS at the Fermi energy 6.97 states/eV/cell.